Here is crystalline CoBi2TeO6 at its relaxed geometry from the Open Quantum Materials Database. Energies are from PBE with a Hubbard U.

```
CoBi2TeO6
1.0
5.562 0.000 0.000
0.000 5.996 0.000
-5.524 0.000 8.022
Bi Co O Te
4 2 12 2
Direct
0.259 0.052 0.245 Bi
0.741 0.552 0.255 Bi
0.259 0.448 0.745 Bi
0.741 0.948 0.755 Bi
0.500 0.000 0.000 Co
0.500 0.500 0.500 Co
0.226 0.818 0.051 O
0.386 0.308 0.059 O
0.868 0.957 0.243 O
0.132 0.457 0.257 O
0.614 0.808 0.441 O
0.774 0.318 0.449 O
0.226 0.682 0.551 O
0.386 0.192 0.559 O
0.868 0.543 0.743 O
0.132 0.043 0.757 O
0.614 0.692 0.941 O
0.774 0.182 0.949 O
0.000 0.500 0.000 Te
0.000 0.000 0.500 Te
```

Results
The electronic total energy is -5.621 eV per atom. Its calculated volume is 267.5 Å³/cell.